(1)
Material: Na3MgAg
Method: DFT, PBE-GGA
State: relaxed

Summary:
DOS(E_F)	3.1	states/eV per cell
relative energy among the computed polymorphs	0.000	eV per atom
final energy	-7.21	eV for the cell shown
calculated density	1.88	g/cm3

Unit cell a=5.6194 b=5.6194 c=5.6194 alpha=90.00 beta=90.00 gamma=90.00
With the nearest neighbours (Å) after each atom.
Fractional coordinates of all 5 atoms:
Na 0.5000 0.0000 0.0000  2 Ag 2.81
Ag 0.0000 0.0000 0.0000  6 Na 2.81
Mg 0.5000 0.5000 0.5000  12 Na 3.97
Na 0.0000 0.5000 0.0000  2 Ag 2.81
Na 0.0000 0.0000 0.5000  2 Ag 2.81

=====

(2)
Material: Ac2PaF11
Method: DFT, PBE-GGA
State: relaxed

Summary:
DOS(E_F)	0.0	states/eV per cell
final energy	-188.55	eV for the cell shown
energy relative to the elements, uncorrected	-3998.3	meV/atom
calculated density	5.19	g/cm3

Unit cell a=8.8710 b=9.1765 c=9.1765 alpha=74.67 beta=61.10 gamma=61.10
With the nearest neighbours (Å) after each atom.
Fractional coordinates of all 28 atoms:
Pa 0.2500 0.2500 0.2500  8 F 2.23
Ac 0.1429 0.8184 0.1816  7 F 2.35-2.57
F 0.8362 0.9211 0.7914  1 Pa 2.23
F 0.9367 0.8069 0.4932  1 Pa 2.23
Pa 0.7500 0.7500 0.7500  8 F 2.23
F 0.6226 0.2798 0.7202  2 Ac 2.35-2.39
F 0.7632 0.4932 0.8069  1 Pa 2.23
F 0.2632 0.3069 0.9932  1 Pa 2.23
F 0.7368 0.6931 0.0068  1 Pa 2.23
F 0.4513 0.7914 0.9211  1 Pa 2.23
Ac 0.8571 0.1816 0.8184  7 F 2.35-2.57
F 0.6638 0.7086 0.5789  1 Pa 2.23
F 0.5000 0.5000 0.5000  2 Ac 2.39
F 0.0487 0.5789 0.7086  1 Pa 2.23
Ac 0.6429 0.6816 0.3184  7 F 2.35-2.57
F 0.8774 0.7798 0.2202  2 Ac 2.35-2.39
F 0.0633 0.1931 0.5068  1 Pa 2.23
F 0.4367 0.9932 0.3069  1 Pa 2.23
Ac 0.3571 0.3184 0.6816  7 F 2.35-2.57
F 0.3774 0.7202 0.2798  2 Ac 2.35-2.39
F 0.0000 0.0000 0.0000  2 Ac 2.39
F 0.9513 0.4211 0.2914  1 Pa 2.23
F 0.1226 0.2202 0.7798  2 Ac 2.35-2.39
F 0.1638 0.0789 0.2086  1 Pa 2.23
F 0.3362 0.2914 0.4211  1 Pa 2.23
F 0.5487 0.2086 0.0789  1 Pa 2.23
F 0.2368 0.5068 0.1931  1 Pa 2.23
F 0.5633 0.0068 0.6931  1 Pa 2.23

=====

(3)
Material: MgAlSe
Method: DFT, PBE-GGA
State: relaxed

Summary:
DOS(E_F)	1.4	states/eV per cell
relative energy among the computed polymorphs	0.250	eV per atom
final energy	-9.56	eV for the cell shown
energy relative to the elements, uncorrected	-245.6	meV/atom
calculated density	3.62	g/cm3

Unit cell a=5.7613 b=5.7613 c=5.7613 alpha=145.93 beta=145.93 gamma=48.94
With the nearest neighbours (Å) after each atom.
Fractional coordinates of all 3 atoms:
Mg 0.3251 0.3251 0.0000  4 Se 2.97, 5 Al 3.13-3.21
Se 0.6560 0.6560 0.0000  4 Al 2.79, 4 Mg 2.97
Al 0.0189 0.0189 0.0000  4 Se 2.79

=====

(4)
Material: BeIr2Os
Method: DFT, PBE-GGA
State: relaxed

Summary:
DOS(E_F)	4.5	states/eV per cell
final energy	-31.84	eV for the cell shown
calculated density	17.93	g/cm3

Unit cell a=2.7020 b=2.7020 c=8.4918 alpha=90.00 beta=90.00 gamma=119.29
With the nearest neighbours (Å) after each atom.
Fractional coordinates of all 4 atoms:
Ir 0.5000 0.5000 0.2527  2 Os 2.68, 8 Ir 2.70-2.76
Ir 0.0000 0.0000 0.9701  2 Be 2.29
Be 0.5000 0.5000 0.7533  2 Ir 2.29, 2 Os 2.38
Os 0.0000 0.0000 0.5238  2 Be 2.38

=====

(5)
Material: SrInHg
Method: DFT, PBE-GGA
State: relaxed

Summary:
DOS(E_F)	1.7	states/eV per cell
final energy	-6.13	eV for the cell shown
calculated density	7.48	g/cm3

Unit cell a=5.0773 b=5.0773 c=4.0070 alpha=90.00 beta=90.00 gamma=120.00
With the nearest neighbours (Å) after each atom.
Fractional coordinates of all 3 atoms:
Hg 0.0000 0.0000 0.1674  3 In 2.93
In 0.6667 0.3333 0.1661  3 Hg 2.93
Sr 0.3333 0.6667 0.6664  6 Hg 3.55, 6 In 3.55

=====

(6)
Material: CaTaIr2
Method: DFT, PBE-GGA
State: relaxed

Summary:
DOS(E_F)	5.7	states/eV per cell
relative energy among the computed polymorphs	0.657	eV per atom
final energy	-30.87	eV for the cell shown
calculated density	13.62	g/cm3

Unit cell a=2.8769 b=2.8769 c=8.9209 alpha=90.00 beta=90.00 gamma=90.02
With the nearest neighbours (Å) after each atom.
Fractional coordinates of all 4 atoms:
Ir 0.0000 0.0000 0.0277  8 Ir 2.78-2.88, 4 Ca 2.99
Ta 0.0000 0.0000 0.4504  4 Ir 2.77, 4 Ta 2.88
Ca 0.5000 0.5000 0.7820  4 Ca 2.88, 4 Ir 2.99
Ir 0.5000 0.5000 0.2399  4 Ta 2.77, 8 Ir 2.78-2.88

=====

(7)
Material: TlB2O4
Method: DFT, PBE-GGA
State: relaxed

Summary:
DOS(E_F)	3.8	states/eV per cell
relative energy among the computed polymorphs	0.000	eV per atom
final energy	-46.84	eV for the cell shown
energy relative to the elements, uncorrected	-1612.9	meV/atom
calculated density	6.56	g/cm3

Unit cell a=5.6603 b=3.6016 c=3.6016 alpha=90.00 beta=90.00 gamma=90.00
With the nearest neighbours (Å) after each atom.
Fractional coordinates of all 7 atoms:
O 0.6439 0.2556 0.7444  2 B 1.51
B 0.5000 0.5000 0.0000  4 O 1.51
Tl 0.0000 0.0000 0.0000  4 O 2.40
O 0.3561 0.7444 0.7444  2 B 1.51
B 0.5000 0.0000 0.5000  4 O 1.51
O 0.3561 0.2556 0.2556  2 B 1.51
O 0.6439 0.7444 0.2556  2 B 1.51

=====

(8)
Material: Sr2H2O3
Method: DFT, PBE-GGA
State: relaxed

Summary:
DOS(E_F)	0.0	states/eV per cell
relative energy among the computed polymorphs	0.014	eV per atom
final energy	-39.40	eV for the cell shown
calculated density	4.09	g/cm3

Unit cell a=3.5374 b=4.0543 c=7.3202 alpha=115.35 beta=103.98 gamma=90.00
With the nearest neighbours (Å) after each atom.
Fractional coordinates of all 7 atoms:
O 0.1675 0.6406 0.3350  1 H 1.02
O 0.8325 0.3594 0.6650  1 H 1.02
H 0.9062 0.5720 0.8124  1 O 1.02
H 0.0938 0.4280 0.1876  1 O 1.02
Sr 0.6354 0.0614 0.2708  7 O 2.51-2.81, 2 H 2.54
O 0.0000 0.0000 0.0000  2 H 1.66
Sr 0.3646 0.9386 0.7292  7 O 2.51-2.81, 2 H 2.54

=====

(9)
Material: Pr2Sm3Y8
Method: DFT, PBE-GGA
State: relaxed

Summary:
DOS(E_F)	24.9	states/eV per cell
relative energy among the computed polymorphs	0.000	eV per atom
final energy	-72.24	eV for the cell shown
calculated density	5.30	g/cm3

Unit cell a=5.6730 b=11.0352 c=11.0352 alpha=40.92 beta=90.02 gamma=90.02
With the nearest neighbours (Å) after each atom.
Fractional coordinates of all 13 atoms:
Sm 0.5000 0.0000 0.0000  4 Y 3.13
Y 0.5002 0.8182 0.3952  1 Sm 3.13, 3 Y 3.26-3.49
Y 0.9995 0.3346 0.3346  2 Pr 3.43, 4 Y 3.49, 2 Sm 3.78
Sm 0.0000 0.7099 0.2901  3 Sm 3.24-3.61, 6 Y 3.51-3.59
Sm 0.0000 0.2901 0.7099  3 Sm 3.24-3.61, 6 Y 3.51-3.59
Y 0.5002 0.3952 0.8182  1 Sm 3.13, 3 Y 3.26-3.49
Pr 0.5007 0.7588 0.7588  8 Y 3.43-3.65
Y 0.9999 0.1306 0.1306  4 Sm 3.51-3.92, 6 Y 3.64-3.92, 2 Pr 3.64-3.65
Pr 0.4993 0.2412 0.2412  8 Y 3.43-3.65
Y 0.4998 0.1818 0.6048  1 Sm 3.13, 3 Y 3.26-3.49
Y 0.4998 0.6048 0.1818  1 Sm 3.13, 3 Y 3.26-3.49
Y 0.0005 0.6654 0.6654  2 Pr 3.43, 4 Y 3.49, 2 Sm 3.78
Y 0.0001 0.8694 0.8694  4 Sm 3.51-3.92, 6 Y 3.64-3.92, 2 Pr 3.64-3.65

=====

(10)
Material: SrCu2F2
Method: DFT, PBE-GGA
State: relaxed

Summary:
DOS(E_F)	0.6	states/eV per cell
relative energy among the computed polymorphs	0.000	eV per atom
final energy	-21.95	eV for the cell shown
energy relative to the elements, uncorrected	-1666.6	meV/atom
calculated density	4.59	g/cm3

Unit cell a=3.2874 b=3.2874 c=8.7714 alpha=79.20 beta=79.20 gamma=90.00
With the nearest neighbours (Å) after each atom.
Fractional coordinates of all 5 atoms:
Cu 0.7500 0.2500 0.5000  4 Cu 2.32
Sr 0.0000 0.0000 0.0000  8 F 2.61
Cu 0.2500 0.7500 0.5000  4 Cu 2.32
F 0.4295 0.4295 0.1410  1 F 2.38, 4 Sr 2.61
F 0.5705 0.5705 0.8590  1 F 2.38, 4 Sr 2.61

=====

(11)
Material: NdSiHOs
Method: DFT, PBE-GGA
State: relaxed

Summary:
DOS(E_F)	3.7	states/eV per cell
final energy	-54.66	eV for the cell shown
calculated density	9.33	g/cm3

Unit cell a=4.1581 b=4.1581 c=7.4881 alpha=90.00 beta=90.00 gamma=90.00
With the nearest neighbours (Å) after each atom.
Fractional coordinates of all 8 atoms:
H 0.0000 0.0000 0.5000  4 Nd 2.41
H 0.5000 0.5000 0.5000  4 Nd 2.41
Os 0.5000 0.5000 0.0000  4 Si 2.40
Os 0.0000 0.0000 0.0000  4 Si 2.40
Nd 0.0000 0.5000 0.3367  4 H 2.41
Si 0.5000 0.0000 0.1601  4 Os 2.40
Nd 0.5000 0.0000 0.6633  4 H 2.41
Si 0.0000 0.5000 0.8399  4 Os 2.40

=====

(12)
Material: La3Pm4Sm5
Method: DFT, PBE-GGA
State: relaxed

Summary:
DOS(E_F)	19.9	states/eV per cell
relative energy among the computed polymorphs	0.191	eV per atom
final energy	-54.89	eV for the cell shown
calculated density	6.83	g/cm3

Unit cell a=6.0775 b=8.7670 c=9.8940 alpha=106.11 beta=72.11 gamma=69.72
With the nearest neighbours (Å) after each atom.
Fractional coordinates of all 12 atoms:
Sm 0.7787 0.5483 0.8943  4 La 3.30-3.61, 3 Pm 3.50-3.63
La 0.5140 0.6920 0.2801  3 Sm 3.10-3.36, 1 Pm 3.30
Pm 0.1652 0.0421 0.6275  3 La 3.30-3.62, 2 Sm 3.69, 1 Pm 3.69
Pm 0.1421 0.7765 0.9393  2 Pm 3.35-3.69, 3 Sm 3.50-3.63, 1 La 3.50
Pm 0.8579 0.2235 0.0607  2 Pm 3.35-3.69, 3 Sm 3.50-3.63, 1 La 3.50
La 0.4860 0.3080 0.7199  3 Sm 3.10-3.36, 1 Pm 3.30
Sm 0.2213 0.4517 0.1057  4 La 3.30-3.61, 3 Pm 3.50-3.63
Pm 0.8348 0.9579 0.3725  3 La 3.30-3.62, 2 Sm 3.69, 1 Pm 3.69
Sm 0.5000 0.5000 0.5000  4 La 3.04-3.10
Sm 0.6245 0.9491 0.8018  2 La 3.36-3.56, 2 Sm 3.46-3.75, 2 Pm 3.69
Sm 0.3755 0.0509 0.1982  2 La 3.36-3.56, 2 Sm 3.46-3.75, 2 Pm 3.69
La 0.0000 0.5000 0.5000  2 Sm 3.04